Entry 1:
Computed, not measured: crystalline SiHgAs3 at its relaxed geometry at the PBE-GGA level of DFT.

a = 5.162 Å, b = 5.162 Å, c = 5.162 Å
α = 90.00°, β = 90.00°, γ = 90.00°
Fractional coordinates of all 5 atoms:
As 0.000 0.000 0.500
As 0.500 0.000 0.000
As 0.000 0.500 0.000
Hg 0.000 0.000 0.000
Si 0.500 0.500 0.500

Summary:
- DOS(E_F) (states/eV per cell) = 6.12
- SG = Pm-3m
- V (Å³/atom) = 27.51
- E above lowest polymorph (eV per atom) = 0.707
- total magnetic moment (μB/cell) = 0.00
- density (kg/m3) = 5475
- formation energy without anion corrections (eV/atom) = 1.34


Entry 2:
Computed, not measured: crystalline SiHgAs at its relaxed geometry at the PBE-GGA level of DFT.

a = 4.573 Å, b = 4.573 Å, c = 4.573 Å
α = 60.00°, β = 60.00°, γ = 60.00°
Fractional coordinates of all 3 atoms:
Hg 0.500 0.500 0.500
As 0.000 0.000 0.000
Si 0.250 0.250 0.250

Summary:
- DOS(E_F) (states/eV per cell) = 1.71
- SG = F-43m
- V (Å³/atom) = 22.53
- E above lowest polymorph (eV per atom) = 0.319
- total magnetic moment (μB/cell) = 0.00
- density (kg/m3) = 7458
- formation energy without anion corrections (eV/atom) = 0.44


Entry 3:
Computed, not measured: crystalline Si2HgAs at its relaxed geometry at the PBE-GGA level of DFT.

a = 5.646 Å, b = 5.646 Å, c = 5.646 Å
α = 144.78°, β = 130.57°, γ = 62.14°
Fractional coordinates of all 4 atoms:
Si 0.745 0.245 0.500
Si 0.946 0.946 0.000
Hg 0.257 0.757 0.500
As 0.553 0.553 0.000

Summary:
- DOS(E_F) (states/eV per cell) = 1.92
- SG = Imm2
- V (Å³/atom) = 19.51
- E above lowest polymorph (eV per atom) = 0.268
- total magnetic moment (μB/cell) = 0.00
- density (kg/m3) = 7059
- formation energy without anion corrections (eV/atom) = 0.52


Entry 4:
Computed, not measured: crystalline SiHgAs3 at its relaxed geometry at the PBE-GGA level of DFT.

a = 4.849 Å, b = 4.849 Å, c = 4.849 Å
α = 90.00°, β = 90.00°, γ = 90.00°
Fractional coordinates of all 5 atoms:
Si 0.000 0.000 0.000
As 0.000 0.000 0.500
As 0.000 0.500 0.000
As 0.500 0.000 0.000
Hg 0.500 0.500 0.500

Summary:
- DOS(E_F) (states/eV per cell) = 4.04
- SG = Pm-3m
- V (Å³/atom) = 22.80
- E above lowest polymorph (eV per atom) = 0.000
- total magnetic moment (μB/cell) = 0.00
- density (kg/m3) = 6604
- formation energy without anion corrections (eV/atom) = 0.63


Entry 5:
Computed, not measured: crystalline Si2HgAs at its relaxed geometry at the PBE-GGA level of DFT.

a = 3.371 Å, b = 3.371 Å, c = 7.190 Å
α = 90.00°, β = 90.00°, γ = 90.00°
Fractional coordinates of all 4 atoms:
Hg 0.500 0.500 0.750
As 0.500 0.500 0.250
Si 0.000 0.000 0.431
Si 0.000 0.000 0.069

Summary:
- DOS(E_F) (states/eV per cell) = 1.61
- SG = P4/mmm
- V (Å³/atom) = 20.43
- E above lowest polymorph (eV per atom) = 0.250
- total magnetic moment (μB/cell) = 0.00
- density (kg/m3) = 6741
- formation energy without anion corrections (eV/atom) = 0.50


Entry 6:
Computed, not measured: crystalline Si2HgAs at its relaxed geometry at the PBE-GGA level of DFT.

a = 7.063 Å, b = 7.063 Å, c = 7.063 Å
α = 30.22°, β = 30.22°, γ = 30.22°
Fractional coordinates of all 4 atoms:
Si 0.252 0.252 0.252
Si 0.986 0.986 0.986
As 0.518 0.518 0.518
Hg 0.745 0.745 0.745

Summary:
- DOS(E_F) (states/eV per cell) = 1.54
- SG = R3m
- V (Å³/atom) = 19.76
- E above lowest polymorph (eV per atom) = 0.000
- total magnetic moment (μB/cell) = 0.00
- density (kg/m3) = 6967
- formation energy without anion corrections (eV/atom) = 0.25